No. 1
Compound: KSc2Mn
Source: the Alexandria database
Functional: GGA-PBE
Structure: optimized geometry

Computed properties:
Its formation enthalpy at 0 K is 0.809 eV/atom.

extended XYZ file:
```
8
Lattice="6.545 0.000 0.000 0.000 11.248 0.000 -1.289 0.000 2.862" Properties=species:S:1:pos:R:3 pbc="T T T"
K 0.000 0.000 0.000
K 3.273 5.624 0.000
Sc 0.992 2.812 1.431
Sc 0.992 8.436 1.431
Sc 4.265 2.812 1.431
Sc 4.265 8.436 1.431
Mn 0.000 5.624 0.000
Mn 3.273 0.000 0.000
```

No. 2
Compound: KSc2Mn
Source: the Alexandria database
Functional: GGA-PBE
Structure: optimized geometry

Computed properties:
Its formation enthalpy at 0 K is 0.529 eV/atom.

extended XYZ file:
```
8
Lattice="3.124 0.000 0.000 0.000 4.503 0.000 0.000 0.000 17.143" Properties=species:S:1:pos:R:3 pbc="T T T"
K 0.000 0.000 0.000
K 1.562 2.251 8.572
Sc 0.000 0.000 5.387
Sc 0.000 2.251 3.175
Sc 1.562 0.000 11.747
Sc 1.562 2.251 13.959
Mn 0.000 2.251 11.828
Mn 1.562 0.000 3.256
```

No. 3
Compound: KScMn
Source: the Alexandria database
Functional: GGA-PBE
Structure: optimized geometry

Computed properties:
Its formation enthalpy at 0 K is 1.593 eV/atom.

extended XYZ file:
```
12
Lattice="7.295 0.000 0.000 0.000 7.295 0.000 0.000 0.000 7.295" Properties=species:S:1:pos:R:3 pbc="T T T"
K 0.000 0.000 0.000
K 0.000 3.648 3.648
K 3.648 0.000 3.648
K 3.648 3.648 0.000
Sc 1.824 1.824 5.471
Sc 1.824 5.471 1.824
Sc 5.471 1.824 1.824
Sc 5.471 5.471 5.471
Mn 1.824 1.824 1.824
Mn 1.824 5.471 5.471
Mn 5.471 1.824 5.471
Mn 5.471 5.471 1.824
```

No. 4
Compound: KSc2Mn
Source: the Alexandria database
Functional: GGA-PBE
Structure: optimized geometry

Computed properties:
Its formation enthalpy at 0 K is 0.655 eV/atom.

extended XYZ file:
```
8
Lattice="3.277 0.000 0.000 0.000 6.097 0.000 0.000 0.000 10.576" Properties=species:S:1:pos:R:3 pbc="T T T"
K 0.000 0.000 0.000
K 1.639 3.048 5.288
Sc 0.000 3.048 2.005
Sc 0.000 3.048 8.571
Sc 1.639 0.000 3.283
Sc 1.639 0.000 7.293
Mn 0.000 0.000 5.288
Mn 1.639 3.048 0.000
```

No. 5
Compound: KScMn3
Source: the Alexandria database
Functional: GGA-PBE
Structure: optimized geometry

Computed properties:
Its formation enthalpy at 0 K is 1.214 eV/atom.

extended XYZ file:
```
5
Lattice="5.186 0.000 0.000 0.000 5.186 0.000 0.000 0.000 5.186" Properties=species:S:1:pos:R:3 pbc="T T T"
K 0.000 0.000 0.000
Sc 2.593 2.593 2.593
Mn 0.000 2.593 2.593
Mn 2.593 0.000 2.593
Mn 2.593 2.593 0.000
```

No. 6
Compound: KSc2Mn
Source: the Alexandria database
Functional: GGA-PBE
Structure: optimized geometry

Computed properties:
Its formation enthalpy at 0 K is 0.447 eV/atom.

extended XYZ file:
```
8
Lattice="7.138 0.000 0.000 0.000 3.263 0.000 -0.811 0.000 9.591" Properties=species:S:1:pos:R:3 pbc="T T T"
K 0.000 0.000 0.000
K 3.569 1.632 0.000
Sc 1.082 0.000 6.177
Sc 1.676 1.632 3.414
Sc 4.650 1.632 6.177
Sc 5.244 0.000 3.414
Mn -0.406 1.632 4.796
Mn 3.163 0.000 4.796
```

No. 7
Compound: KSc2Mn
Source: the Alexandria database
Functional: GGA-PBE
Structure: optimized geometry

Computed properties:
Its formation enthalpy at 0 K is 0.688 eV/atom.

extended XYZ file:
```
8
Lattice="0.000 5.149 5.149 5.149 0.000 5.149 5.149 5.149 0.000" Properties=species:S:1:pos:R:3 pbc="T T T"
K 1.287 1.287 1.287
K 9.010 9.010 9.010
Sc 5.149 2.574 2.574
Sc 2.574 5.149 2.574
Sc 2.574 2.574 5.149
Sc 5.149 5.149 5.149
Mn 3.861 3.861 3.861
Mn 6.436 6.436 6.436
```

No. 8
Compound: KSc2Mn
Source: the Alexandria database
Functional: GGA-PBE
Structure: optimized geometry

Computed properties:
Its formation enthalpy at 0 K is 0.487 eV/atom.

extended XYZ file:
```
12
Lattice="3.349 0.000 0.000 -1.675 2.900 0.000 0.000 0.000 32.031" Properties=species:S:1:pos:R:3 pbc="T T T"
K 0.000 0.000 0.000
K 0.000 1.934 21.354
K 1.675 0.967 10.677
Sc 0.000 0.000 3.623
Sc 0.000 0.000 28.408
Sc 0.000 1.934 17.731
Sc 0.000 1.934 24.977
Sc 1.675 0.967 7.054
Sc 1.675 0.967 14.300
Mn 0.000 0.000 16.015
Mn 0.000 1.934 5.339
Mn 1.675 0.967 26.692
```

no.,uncorrected energy (eV/cell)
1,-39.39
2,-41.63
3,-47.28
4,-40.62
5,-28.87
6,-42.28
7,-40.35
8,-62.94